[1]
HoCdCuSe3: relaxed, PBE-GGA.

```
12
Lattice="0.907 5.800 3.437 -4.373 -3.960 -3.387 -2.506 -4.968 9.044" Properties=species:S:1:pos:R:3 pbc="T T T"
Cd -0.937 2.307 4.125
Cd -5.035 -5.435 4.970
Cu -2.469 -0.525 2.145
Cu -3.503 -2.603 6.950
Ho 0.000 0.000 0.000
Ho -1.253 -2.484 4.522
Se -2.682 -0.859 -0.276
Se -4.480 -4.242 -0.454
Se -3.557 -2.595 2.884
Se -2.414 -0.533 6.211
Se -1.492 1.114 9.549
Se -3.290 -2.269 9.371
```

Output
total DFT energy (no corrections): -4.18 eV per atom
ρ: 7.07 g cm⁻³
magnetic moment: 0.000 μB per formula unit
crystal system: orthorhombic

[2]
TbGd2In3Ir2Au: relaxed, PBE-GGA.

```
9
Lattice="-0.960 -2.751 2.654 -0.830 -5.133 -5.620 6.810 0.889 3.384" Properties=species:S:1:pos:R:3 pbc="T T T"
Au 5.977 -4.241 -2.235
Gd -0.339 -2.098 -2.297
Gd 2.783 0.363 1.383
In 1.121 -2.511 0.728
In 3.682 -5.853 -1.810
In 5.718 -4.249 0.590
Ir 1.243 -4.499 -1.288
Ir 3.781 -2.498 1.704
Tb 3.536 -2.509 -1.322
```

Output
total DFT energy (no corrections): -5.49 eV per atom
ρ: 11.61 g cm⁻³
magnetic moment: 0.017 μB per formula unit
crystal system: orthorhombic

[3]
KLiH2Pd: relaxed, PBE-GGA.

```
5
Lattice="-1.752 1.752 6.516 1.752 -1.752 6.516 1.752 1.752 -6.516" Properties=species:S:1:pos:R:3 pbc="T T T"
H 0.000 0.000 1.957
H 0.000 0.000 11.621
K 0.000 0.000 4.471
Li 0.000 0.000 7.720
Pd 0.000 0.000 0.296
```

Output
total DFT energy (no corrections): -3.24 eV per atom
ρ: 3.21 g cm⁻³
crystal system: tetragonal

[4]
Tm2Ni2Sn: relaxed, PBE-GGA.

```
10
Lattice="7.289 0.000 0.000 0.000 7.289 0.000 0.000 0.000 3.604" Properties=species:S:1:pos:R:3 pbc="T T T"
Ni 4.526 0.881 0.000
Ni 0.881 2.763 0.000
Ni 6.408 4.526 0.000
Ni 2.763 6.408 0.000
Sn 0.000 0.000 0.000
Sn 3.645 3.645 0.000
Tm 2.379 1.266 1.802
Tm 6.023 2.379 1.802
Tm 1.266 4.911 1.802
Tm 4.911 6.023 1.802
```

Output
total DFT energy (no corrections): -5.44 eV per atom
ρ: 9.96 g cm⁻³
magnetic moment: 0.002 μB per formula unit
crystal system: tetragonal

[5]
Sr2YPtSe6: relaxed, PBE-GGA.

```
10
Lattice="-0.293 5.433 3.427 -3.877 -0.598 5.881 4.018 -0.184 5.963" Properties=species:S:1:pos:R:3 pbc="T T T"
Pt -1.938 -0.299 2.940
Se -2.784 3.582 8.327
Se -0.750 3.212 5.514
Se 0.225 0.427 4.003
Se -0.377 4.223 11.267
Se 0.598 1.438 9.757
Se 2.633 1.068 6.943
Sr -2.194 0.784 6.648
Sr 2.042 3.866 8.622
Y 1.863 2.624 4.695
```

Output
total DFT energy (no corrections): -4.87 eV per atom
ρ: 5.84 g cm⁻³
magnetic moment: 0.004 μB per formula unit
crystal system: triclinic

[6]
Zn4Sn3: relaxed, PBE-GGA.

```
14
Lattice="5.503 6.354 0.000 -2.750 7.941 0.000 0.000 0.000 4.802" Properties=species:S:1:pos:R:3 pbc="T T T"
Sn -0.103 2.971 0.000
Sn 0.229 6.366 0.000
Sn 2.628 11.309 0.000
Sn 1.938 3.382 2.401
Sn 1.962 9.338 2.401
Sn -1.143 7.929 2.401
Zn 5.260 6.370 0.000
Zn 2.888 4.966 0.000
Zn 2.858 7.723 0.000
Zn 0.002 9.531 0.000
Zn 4.451 7.740 2.401
Zn 2.076 6.337 2.401
Zn -0.916 4.766 2.401
Zn 1.731 12.925 2.401
```

Output
ρ: 6.98 g cm⁻³
crystal system: hexagonal
energy relative to the lowest polymorph listed for this composition: 0.000 eV per atom

[7]
InGe5Au3: relaxed, PBE-GGA.

```
9
Lattice="-0.186 -5.255 1.766 -0.648 1.140 -5.390 7.338 -0.599 -1.009" Properties=species:S:1:pos:R:3 pbc="T T T"
Au 3.576 -2.927 0.378
Au 3.345 0.270 -3.200
Au 3.252 -2.357 -2.317
Ge 1.022 -3.235 -0.807
Ge 0.868 -1.103 -3.192
Ge 3.669 -0.300 -0.505
Ge 5.635 -3.612 -1.441
Ge 5.481 -1.480 -3.827
In 0.000 0.000 0.000
```

Output
total DFT energy (no corrections): -3.68 eV per atom
ρ: 8.96 g cm⁻³
crystal system: hexagonal

[8]
Sr2ZnTe2F2: relaxed, PBE-GGA.

```
7
Lattice="4.222 0.000 0.000 0.000 4.222 0.000 0.000 0.000 9.351" Properties=species:S:1:pos:R:3 pbc="T T T"
F 0.000 0.000 4.676
F 2.111 2.111 4.676
Sr 0.000 2.111 3.314
Sr 2.111 0.000 6.037
Te 2.111 0.000 1.621
Te 0.000 2.111 7.730
Zn 0.000 0.000 0.000
```

Output
total DFT energy (no corrections): -4.38 eV per atom
ρ: 5.32 g cm⁻³
crystal system: tetragonal

[9]
PmErU: relaxed, PBE-GGA.

```
3
Lattice="0.000 3.734 3.734 3.734 0.000 3.734 3.734 3.734 0.000" Properties=species:S:1:pos:R:3 pbc="T T T"
Er 5.600 5.600 5.600
Pm 1.867 1.867 1.867
U 0.000 0.000 0.000
```

Output
ρ: 8.78 g cm⁻³
magnetic moment: 4.267 μB per formula unit
crystal system: cubic
energy relative to the lowest polymorph listed for this composition: 0.000 eV per atom
energy of formation: 1275 meV/atom

[10]
LiFeSbPb: relaxed, PBE-GGA.

```
4
Lattice="2.223 -4.258 -0.366 -1.639 -3.794 2.475 -2.139 -3.643 -2.314" Properties=species:S:1:pos:R:3 pbc="T T T"
Fe -0.389 -2.924 -0.051
Li -1.166 -8.771 -0.154
Pb -0.778 -5.847 -0.103
Sb 0.000 0.000 0.000
```

Output
ρ: 8.23 g cm⁻³
magnetic moment: 2.203 μB per formula unit
crystal system: cubic
energy relative to the lowest polymorph listed for this composition: 0.000 eV per atom

[11]
Tb2ScCu4Si2Ge2: relaxed, PBE-GGA.

```
11
Lattice="7.535 -0.497 2.222 3.884 6.257 2.781 -5.943 -5.124 0.616" Properties=species:S:1:pos:R:3 pbc="T T T"
Cu 8.184 2.143 4.248
Cu 4.219 0.143 2.510
Cu -2.709 -1.507 1.372
Cu 1.256 0.493 3.109
Ge 6.030 1.746 3.075
Ge -0.555 -1.110 2.545
Sc 0.000 0.000 0.000
Si 2.436 1.229 1.068
Si 8.982 4.531 3.936
Tb 2.274 -2.065 2.067
Tb 3.201 2.700 3.553
```

Output
ρ: 7.38 g cm⁻³
magnetic moment: 0.005 μB per formula unit
crystal system: orthorhombic
energy relative to the lowest polymorph listed for this composition: 0.000 eV per atom

[12]
PaSiGe: relaxed, PBE-GGA.

```
3
Lattice="0.000 3.311 3.311 3.311 0.000 3.311 3.311 3.311 0.000" Properties=species:S:1:pos:R:3 pbc="T T T"
Ge 1.656 1.656 1.656
Pa 0.000 0.000 0.000
Si 4.967 4.967 4.967
```

Output
ρ: 7.59 g cm⁻³
magnetic moment: 0.039 μB per formula unit
crystal system: cubic
energy relative to the lowest polymorph listed for this composition: 0.038 eV per atom

[13]
RbMgZrSe3: relaxed, PBE-GGA.

```
12
Lattice="-7.920 1.937 -4.194 1.659 -0.977 -3.584 0.525 -9.690 2.884" Properties=species:S:1:pos:R:3 pbc="T T T"
Mg -2.617 -3.165 -1.504
Mg -3.119 -5.565 -3.391
Rb -4.256 -1.710 -4.968
Rb -1.481 -7.019 0.073
Se -2.394 -0.727 -2.065
Se -7.204 0.018 -4.494
Se -0.791 -4.571 -2.584
Se -4.945 -4.159 -2.310
Se 1.467 -8.748 -0.400
Se -3.342 -8.003 -2.830
Zr 0.150 -1.598 -2.959
Zr -5.886 -7.132 -1.935
```

Output
total DFT energy (no corrections): -4.86 eV per atom
ρ: 4.16 g cm⁻³
magnetic moment: 0.948 μB per formula unit
crystal system: monoclinic

[14]
NaTaB4: relaxed, PBE-GGA.

```
6
Lattice="-1.530 2.684 3.493 1.530 -2.684 3.493 1.530 2.684 -3.493" Properties=species:S:1:pos:R:3 pbc="T T T"
B 0.000 1.768 1.797
B 1.530 -0.916 1.696
B 0.000 3.600 1.797
B 1.530 0.916 1.696
Na 0.000 0.000 3.493
Ta 0.000 0.000 0.000
```

Output
ρ: 7.15 g cm⁻³
magnetic moment: 0.000 μB per formula unit
crystal system: orthorhombic
energy relative to the lowest polymorph listed for this composition: 0.211 eV per atom

[15]
HoTmCd2Sn2: relaxed, PBE-GGA.

```
6
Lattice="-2.183 2.183 7.896 2.183 -2.183 7.896 2.183 2.183 -7.896" Properties=species:S:1:pos:R:3 pbc="T T T"
Cd 0.000 2.183 7.892
Cd 2.183 0.000 7.892
Ho 0.000 0.000 10.473
Sn 0.000 0.000 2.260
Sn 0.000 0.000 13.540
Tm 0.000 0.000 5.321
```

Output
total DFT energy (no corrections): -3.63 eV per atom
ρ: 8.79 g cm⁻³
magnetic moment: 0.002 μB per formula unit
crystal system: tetragonal

[16]
Cd2B5Os3: relaxed, PBE-GGA.

```
10
Lattice="-3.970 -0.089 -0.977 -0.829 -0.541 -5.142 -2.039 -6.751 0.341" Properties=species:S:1:pos:R:3 pbc="T T T"
B -2.776 -1.365 -5.349
B -0.829 -2.097 0.040
B -4.291 -3.710 -3.104
B -3.672 -5.231 -5.244
B -3.892 -6.012 -0.388
Cd -2.370 -1.721 -2.770
Cd -2.352 -5.612 -2.488
Os -3.906 -0.087 -0.961
Os -3.888 -3.117 -4.951
Os -4.766 -4.304 -1.274
```

Output
total DFT energy (no corrections): -6.77 eV per atom
ρ: 10.59 g cm⁻³
magnetic moment: 0.000 μB per formula unit
crystal system: monoclinic

[17]
Dy3Al3GePd2: relaxed, PBE-GGA.

```
9
Lattice="7.573 0.000 0.000 -3.787 6.559 0.000 0.000 0.000 3.938" Properties=species:S:1:pos:R:3 pbc="T T T"
Al 3.075 0.000 0.000
Al -1.537 2.663 0.000
Al 2.249 3.896 0.000
Dy 5.483 0.000 1.969
Dy 1.045 1.810 1.969
Dy -2.742 4.748 1.969
Ge 0.000 0.000 0.000
Pd 3.787 2.186 1.969
Pd 0.000 4.372 1.969
```

Output
ρ: 7.25 g cm⁻³
magnetic moment: 0.006 μB per formula unit
crystal system: hexagonal
energy relative to the lowest polymorph listed for this composition: 0.339 eV per atom

[18]
Zr3In: relaxed, PBE-GGA.

```
8
Lattice="-0.513 6.402 0.348 -2.430 -3.672 4.566 4.479 0.220 2.561" Properties=species:S:1:pos:R:3 pbc="T T T"
In -1.234 -1.840 2.315
In 1.426 4.835 2.298
Zr -0.256 3.163 0.177
Zr -0.006 0.036 0.007
Zr -1.468 1.366 2.450
Zr 1.660 1.630 2.163
Zr 0.197 2.962 4.608
Zr 0.447 -0.166 4.438
```

Output
total DFT energy (no corrections): -7.18 eV per atom
ρ: 7.10 g cm⁻³
magnetic moment: 0.002 μB per formula unit
crystal system: orthorhombic

[19]
LiHfBeAu: relaxed, PBE-GGA.

```
4
Lattice="1.486 2.095 3.461 -2.609 2.614 2.221 -1.336 -1.127 3.939" Properties=species:S:1:pos:R:3 pbc="T T T"
Au -1.844 2.686 7.216
Be 0.000 0.000 0.000
Hf -0.615 0.895 2.405
Li -1.229 1.791 4.811
```

Output
ρ: 11.48 g cm⁻³
magnetic moment: 0.001 μB per formula unit
crystal system: cubic
energy relative to the lowest polymorph listed for this composition: 0.042 eV per atom

[20]
Er3Mg3InPt2: relaxed, PBE-GGA.

```
9
Lattice="7.451 0.000 0.000 -3.725 6.452 0.000 0.000 0.000 4.163" Properties=species:S:1:pos:R:3 pbc="T T T"
Er 4.291 0.000 0.000
Er 1.580 2.736 0.000
Er -2.146 3.716 0.000
In 0.000 0.000 0.000
Mg 1.945 0.000 2.082
Mg -0.972 1.684 2.082
Mg 2.753 4.768 2.082
Pt 3.725 2.151 2.082
Pt 0.000 4.302 2.082
```

Output
total DFT energy (no corrections): -4.39 eV per atom
ρ: 8.96 g cm⁻³
magnetic moment: 0.010 μB per formula unit
crystal system: hexagonal